This record from Alexandria via LeMat-Bulk describes crystalline HfVIF2 at its relaxed geometry. The functional is GGA+U.

a b c (Å): 4.147 4.147 6.365
angles (deg): 90.00 90.00 90.00
Space group P4/mmm (No. 123)
Inequivalent atoms, fractional coordinates:
Hf1 0.000 0.000 0.000 (multiplicity 1)
V1 0.500 0.500 0.500 (multiplicity 1)
I1 0.500 0.500 0.000 (multiplicity 1)
F1 0.000 0.500 0.500 (multiplicity 2)

Summary:
- Raw total energy: -5.39 eV per atom